1.
The following is a DFT calculation (GGA-PBE) of a relaxed structure of LaGe2Bi2Pd7.

Lattice parameters (Å, degrees): 4.120 4.120 14.303 84.92 84.92 89.48
Element x y z (fractional)
Pd  0.453  0.953  0.157
Pd  0.953  0.453  0.157
Pd  0.347  0.347  0.432
Pd  0.047  0.547  0.843
Pd  0.653  0.653  0.568
Pd  0.500  0.500  0.000
Pd  0.547  0.047  0.843
Bi  0.118  0.118  0.618
Bi  0.882  0.882  0.382
La  0.000  0.000  0.000
Ge  0.421  0.421  0.258
Ge  0.579  0.579  0.742

Space-group type ... C2/m, No. 12
Spin magnetization ... 0.0 μB/f.u.
DFT formation energy ... -428 meV/atom
VASP energy ... -5.284 eV/atom
V ... 20.1 Å³ per atom

2.
The following is a DFT calculation (GGA-PBE) of a relaxed structure of BaSb2TeN.

Lattice parameters (Å, degrees): 4.946 4.946 5.246 90.00 90.00 90.00
Element x y z (fractional)
Sb  0.500  0.000  0.000
Sb  0.000  0.500  0.000
Ba  0.500  0.500  0.500
Te  0.000  0.000  0.500
N  0.000  0.000  0.000

Space-group type ... P4/mmm, No. 123
Spin magnetization ... 0.0 μB/f.u.
VASP energy ... -4.241 eV/atom
E_form (uncorrected) ... 0.09 eV per atom
V ... 25.7 Å³ per atom
Distance to the lowest polymorph of the same formula ... 0.000 eV/f.u.

3.
The following is a DFT calculation (GGA-PBE) of a relaxed structure of Ti7Al2H2.

Lattice parameters (Å, degrees): 5.390 5.506 5.390 84.50 83.54 95.50
Element x y z (fractional)
Ti  0.162  0.824  0.494
Ti  0.506  0.824  0.838
Ti  0.838  0.176  0.506
Ti  0.667  0.650  0.333
Ti  0.000  0.000  0.000
Ti  0.494  0.176  0.162
Ti  0.333  0.350  0.667
H  0.255  0.009  0.745
H  0.745  0.991  0.255
Al  0.162  0.500  0.162
Al  0.838  0.500  0.838

Space-group type ... C2/m, No. 12
Spin magnetization ... 0.0 μB/f.u.
VASP energy ... -6.536 eV/atom
V ... 14.3 Å³ per atom

4.
The following is a DFT calculation (GGA-PBE) of a relaxed structure of SrAlZn2Rh.

Lattice parameters (Å, degrees): 4.895 4.895 4.697 90.00 90.00 90.00
Element x y z (fractional)
Rh  0.000  0.000  0.000
Zn  0.500  0.000  0.000
Zn  0.000  0.500  0.000
Sr  0.500  0.500  0.500
Al  0.000  0.000  0.500

Space-group type ... P4/mmm, No. 123
Spin magnetization ... 0.0 μB/f.u.
DFT formation energy ... -371 meV/atom
VASP energy ... -3.435 eV/atom
V ... 22.5 Å³ per atom